(1)
Here is an optimized crystal structure of La8PrN6 from the Alexandria database. Energies are from PBE.

The structure belongs to space group R-3 (No. 148, hexagonal axes); the cell edges are 6.4500, 6.4500 and 29.0153 Å and the angles 90.00°, 90.00° and 120.00°. The distinct sites, in fractional coordinates, are La at (0.0000, 0.0000, 0.1667), La at (0.9999, 0.3328, 0.5997), Pr at (0.0000, 0.0000, 0.5000) and N at (0.0000, 0.3323, 0.4431).

For the volume, the calculation gives 23.23 Å³ per atom. For the total energy, the calculation gives -7.3665 eV per atom.

***

(2)
Here is an optimized crystal structure of LaPr2N3 from the Alexandria database. Energies are from PBE.

The structure belongs to space group Immm (No. 71); the cell edges are 3.7126, 5.2448 and 11.1435 Å and the angles 90.00°, 90.00° and 90.00°. The distinct sites, in fractional coordinates, are La at (0.0000, 0.0000, 0.0000), Pr at (0.0000, 0.0000, 0.3329), N at (0.0000, 0.5000, 0.0000) and N at (0.0000, 0.5000, 0.3318).

For the volume, the calculation gives 18.08 Å³ per atom. For the total energy, the calculation gives -7.8751 eV per atom.

***

(3)
Here is an optimized crystal structure of La4Pr2N from the Alexandria database. Energies are from PBE.

The structure belongs to space group I4/mmm (No. 139); the cell edges are 5.1289, 5.1289 and 17.8640 Å and the angles 90.00°, 90.00° and 90.00°. The distinct sites, in fractional coordinates, are La at (0.0000, 0.0000, 0.1362), La at (0.0000, 0.5000, 0.0000), Pr at (0.0000, 0.0000, 0.3324) and N at (0.0000, 0.0000, 0.0000).

For the volume, the calculation gives 33.57 Å³ per atom. For the energy above the lowest structure with this stoichiometry, the calculation gives 110 meV per atom.

***

(4)
Here is an optimized crystal structure of La5Pr3N8 from the Alexandria database. Energies are from PBE.

The structure belongs to space group R-3m (No. 166, hexagonal axes); the cell edges are 7.4599, 7.4599 and 18.2767 Å and the angles 90.00°, 90.00° and 120.00°. The distinct sites, in fractional coordinates, are La at (0.0000, 0.0000, 0.0000), La at (0.0000, 0.0000, 0.5000), La at (0.0000, 0.5000, 0.0000), Pr at (0.0000, 0.5000, 0.5000), N at (0.0000, 0.0000, 0.2495) and N at (0.0009, 0.5004, 0.7504).

For the volume, the calculation gives 18.35 Å³ per atom. For the total energy, the calculation gives -7.9038 eV per atom.

***

(5)
Here is an optimized crystal structure of La3PrN4 from the Alexandria database. Energies are from PBE.

The structure belongs to space group Cmmm (No. 65); the cell edges are 7.4770, 10.5681 and 3.7378 Å and the angles 90.00°, 90.00° and 90.00°. The distinct sites, in fractional coordinates, are La at (0.0000, 0.0000, 0.0000), La at (0.2500, 0.2500, 0.5000), Pr at (0.0000, 0.5000, 0.0000), N at (0.0000, 0.2508, 0.0000) and N at (0.2489, 0.5000, 0.5000).

For the volume, the calculation gives 18.46 Å³ per atom. For the total energy, the calculation gives -7.9172 eV per atom.

***

(6)
Here is an optimized crystal structure of LaPr4N4 from the Alexandria database. Energies are from PBE.

The structure belongs to space group I-42m (No. 121); the cell edges are 6.0147, 6.0147 and 11.3476 Å and the angles 90.00°, 90.00° and 90.00°. The distinct sites, in fractional coordinates, are La at (0.0000, 0.0000, 0.0000), Pr at (0.0000, 0.0000, 0.2843), Pr at (0.0000, 0.5000, 0.0000) and N at (0.2414, 0.2414, 0.1197).

For the volume, the calculation gives 22.81 Å³ per atom. For the energy above the lowest structure with this stoichiometry, the calculation gives 539 meV per atom.

***

(7)
Here is an optimized crystal structure of LaPr8N6 from the Alexandria database. Energies are from PBE.

The structure belongs to space group R-3 (No. 148, hexagonal axes); the cell edges are 6.4139, 6.4139 and 28.3553 Å and the angles 90.00°, 90.00° and 120.00°. The distinct sites, in fractional coordinates, are La at (0.0000, 0.0000, 0.0000), Pr at (0.0000, 0.0000, 0.3333), Pr at (0.0003, 0.3333, 0.4348) and N at (0.0000, 0.3341, 0.9429).

For the volume, the calculation gives 22.45 Å³ per atom. For the total energy, the calculation gives -7.2554 eV per atom.

***

(8)
Here is an optimized crystal structure of La3PrN4 from the Alexandria database. Energies are from PBE.

The structure belongs to space group Pm-3m (No. 221); the cell edges are 5.2838, 5.2838 and 5.2838 Å and the angles 90.00°, 90.00° and 90.00°. The distinct sites, in fractional coordinates, are La at (0.0000, 0.0000, 0.5000), Pr at (0.5000, 0.5000, 0.5000), N at (0.0000, 0.0000, 0.0000) and N at (0.0000, 0.5000, 0.5000).

For the volume, the calculation gives 18.44 Å³ per atom. For the total energy, the calculation gives -7.9163 eV per atom.